Record 1
This record from the Alexandria database describes a geometry-optimized U3As structure. The functional is PBE-GGA.

Geometry as extended XYZ:
```
8
Lattice="5.147 -0.019 1.185 0.892 5.618 1.703 -0.067 1.253 5.803" Properties=species:S:1:pos:R:3 pbc="T T T"
U 2.222 6.152 7.068
U 3.750 0.701 1.623
U 4.517 3.588 2.773
U 1.455 3.265 5.918
U 1.905 5.311 3.996
U 4.067 1.542 4.695
As 1.744 2.489 3.057
As 4.228 4.364 5.634
```

E above lowest polymorph = 45.8 meV per atom
Formation energy = -0.28 eV per atom
SG = C2/m, No. 12


Record 2
This record from the Alexandria database describes a geometry-optimized UVAs structure. The functional is PBE-GGA.

Geometry as extended XYZ:
```
6
Lattice="4.298 0.000 -0.038 0.000 3.419 0.000 0.061 -1.710 6.954" Properties=species:S:1:pos:R:3 pbc="T T T"
U 1.129 1.710 6.211
U 3.230 0.000 0.705
V 1.107 0.000 3.675
V 3.252 1.710 3.241
As 1.091 1.710 1.824
As 3.269 0.000 5.092
```

Formation energy = -0.45 eV per atom
SG = Cmcm, No. 63


Record 3
This record from the Alexandria database describes a geometry-optimized UV2As structure. The functional is PBE-GGA.

Geometry as extended XYZ:
```
4
Lattice="-2.272 -2.350 0.231 1.891 -2.003 -1.774 2.683 -2.082 5.210" Properties=species:S:1:pos:R:3 pbc="T T T"
As -0.190 -2.176 -0.772
U 1.151 -3.217 1.833
V 2.153 -1.671 4.182
V 0.529 -0.411 1.028
```

E above lowest polymorph = 158.6 meV per atom
Formation energy = 0.01 eV per atom
SG = P4/mmm, No. 123


Record 4
This record from the Alexandria database describes a geometry-optimized U3V12As5 structure. The functional is PBE-GGA.

Geometry as extended XYZ:
```
80
Lattice="12.647 0.000 0.000 -4.216 11.924 0.000 -4.216 -5.962 10.327" Properties=species:S:1:pos:R:3 pbc="T T T"
U 7.378 3.726 1.291
U 7.378 8.198 1.291
U -1.054 5.217 6.454
U 1.054 -0.745 3.872
U 9.486 0.000 2.582
U 1.054 5.962 2.582
U 3.162 0.000 7.745
U -5.270 5.962 7.745
U 3.162 6.707 6.454
U 5.270 0.745 3.872
U -3.162 -2.236 9.036
U -3.162 2.236 9.036
As -1.054 2.981 2.582
As -2.108 5.962 0.000
As 0.000 0.000 0.000
As 3.162 2.236 1.291
As 4.216 -2.981 5.163
As 4.216 5.962 0.000
As -3.162 6.707 3.872
As 5.270 -3.726 9.036
As 5.270 5.217 3.872
As 1.054 -2.981 7.745
As 3.162 8.943 2.582
As 2.108 2.981 5.163
As 6.324 0.000 0.000
As -2.108 -2.981 5.163
As -1.054 0.745 6.454
As -1.054 9.688 1.291
As -4.216 2.981 5.163
As 7.378 -0.745 6.454
As 1.054 3.726 9.036
As 5.270 2.981 7.745
V 8.270 1.524 0.665
V 0.161 4.319 4.176
V 9.256 2.437 2.801
V 5.499 1.773 1.652
V 1.320 4.728 6.860
V 8.629 6.122 1.697
V -0.824 6.626 4.454
V -3.391 10.151 1.652
V 0.788 7.196 6.860
V 6.126 5.802 1.697
V 6.485 3.167 3.511
V 6.485 10.400 0.665
V -3.428 5.324 5.828
V 2.306 4.412 0.710
V -4.377 8.757 3.511
V 2.269 -1.643 6.151
V -0.788 0.596 2.362
V 2.306 7.351 0.987
V 5.499 9.487 2.801
V -0.198 4.573 0.987
V -2.896 6.558 7.965
V 2.932 5.298 4.454
V 5.536 6.600 5.828
V 4.414 -1.550 9.617
V 1.284 0.664 5.873
V -1.320 -0.638 4.498
V -0.198 7.512 0.710
V -1.284 -3.525 7.525
V 7.112 -0.596 2.362
V 4.414 1.389 9.339
V 1.910 -1.389 9.339
V 1.947 7.605 4.176
V 5.004 5.366 7.965
V 8.593 -2.795 6.815
V 7.644 0.638 4.498
V -2.269 -4.438 9.662
V 1.910 1.550 9.617
V 3.428 -1.234 3.466
V -1.910 0.160 8.630
V -2.269 2.795 6.815
V 7.607 -4.189 8.674
V 5.040 -0.664 5.873
V -1.284 4.189 8.674
V -4.414 -0.160 8.630
V 2.896 1.234 3.466
V -5.040 3.525 7.525
V 4.054 1.643 6.151
V -4.054 4.438 9.662
```

Formation energy = 0.46 eV per atom
SG = Ia-3d, No. 230


Record 5
This record from the Alexandria database describes a geometry-optimized UV2As structure. The functional is PBE-GGA.

Geometry as extended XYZ:
```
4
Lattice="-1.519 3.050 -0.711 -2.829 -1.984 -2.468 -2.568 -0.499 3.345" Properties=species:S:1:pos:R:3 pbc="T T T"
As -3.458 0.283 0.083
U -0.759 1.525 -0.355
V -1.284 -0.250 1.672
V -1.414 -0.992 -1.234
```

E above lowest polymorph = 0.0 meV per atom
Formation energy = -0.15 eV per atom
SG = P4/mmm, No. 123


Record 6
This record from the Alexandria database describes a geometry-optimized UVAs structure. The functional is PBE-GGA.

Geometry as extended XYZ:
```
3
Lattice="3.357 0.000 0.000 0.000 4.334 0.000 0.000 -2.167 3.754" Properties=species:S:1:pos:R:3 pbc="T T T"
As 1.679 0.000 2.503
U 0.000 0.000 0.000
V 1.678 2.167 1.251
```

Formation energy = -0.23 eV per atom
SG = P-6m2, No. 187


Record 7
This record from the Alexandria database describes a geometry-optimized UV2As structure. The functional is PBE-GGA.

Geometry as extended XYZ:
```
4
Lattice="4.460 0.000 0.000 2.230 3.863 0.000 2.230 1.288 3.643" Properties=species:S:1:pos:R:3 pbc="T T T"
As 0.000 0.000 0.000
U 4.460 2.575 1.821
V 6.690 3.863 2.732
V 2.230 1.288 0.911
```

E above lowest polymorph = 152.5 meV per atom
Formation energy = 0.01 eV per atom
SG = Fm-3m, No. 225


Record 8
This record from the Alexandria database describes a geometry-optimized UVAs structure. The functional is PBE-GGA.

Geometry as extended XYZ:
```
3
Lattice="3.193 0.000 0.000 0.000 3.193 0.000 -1.597 -1.597 5.227" Properties=species:S:1:pos:R:3 pbc="T T T"
As 0.000 0.000 0.315
U 0.000 0.000 3.408
V 1.597 1.597 1.505
```

Formation energy = -0.19 eV per atom
SG = I4mm, No. 107


Record 9
This record from the Alexandria database describes a geometry-optimized UVAs structure. The functional is PBE-GGA.

Geometry as extended XYZ:
```
6
Lattice="3.462 0.000 0.000 0.000 3.460 0.000 0.000 1.730 8.655" Properties=species:S:1:pos:R:3 pbc="T T T"
As 0.865 1.730 6.835
As 2.596 3.460 1.820
V 0.865 1.730 0.913
V 2.596 3.460 7.742
U 2.596 3.460 4.880
U 0.865 1.730 3.775
```

Formation energy = -0.02 eV per atom
SG = Cmcm, No. 63


Record 10
This record from the Alexandria database describes a geometry-optimized UAsW structure. The functional is PBE-GGA.

Geometry as extended XYZ:
```
6
Lattice="3.316 0.000 0.000 -1.658 2.871 0.000 0.000 0.000 12.267" Properties=species:S:1:pos:R:3 pbc="T T T"
W 1.658 0.638 0.000
W 0.000 1.593 6.133
U 1.658 0.639 3.950
U 1.658 0.639 8.317
As 0.000 1.595 10.580
As 0.000 1.595 1.687
```

Formation energy = 0.13 eV per atom
SG = P-6m2, No. 187


Record 11
This record from the Alexandria database describes a geometry-optimized U2AsW structure. The functional is PBE-GGA.

Geometry as extended XYZ:
```
4
Lattice="-1.696 -2.399 0.458 1.242 -2.699 0.111 1.128 -0.703 10.147" Properties=species:S:1:pos:R:3 pbc="T T T"
As 0.337 -2.901 5.358
U 0.505 -4.351 8.036
U 0.169 -1.450 2.679
W 0.000 0.000 0.000
```

Formation energy = 0.24 eV per atom
SG = R-3m, No. 166


Record 12
This record from the Alexandria database describes a geometry-optimized YUAs2 structure. The functional is PBE-GGA.

Geometry as extended XYZ:
```
4
Lattice="-2.680 -0.151 -3.063 -1.329 -3.599 -1.367 -6.457 -1.056 2.993" Properties=species:S:1:pos:R:3 pbc="T T T"
Y -5.233 -2.403 -0.718
As -2.604 -1.202 -0.370
As -7.861 -3.604 -1.067
U 0.000 0.000 0.000
```

E above lowest polymorph = 0.0 meV per atom
Formation energy = -1.15 eV per atom
SG = R-3m, No. 166


Record 13
This record from the Alexandria database describes a geometry-optimized Y3U5As8 structure. The functional is PBE-GGA.

Geometry as extended XYZ:
```
16
Lattice="-3.841 -3.923 6.038 4.306 -3.450 6.014 -0.169 3.290 7.546" Properties=species:S:1:pos:R:3 pbc="T T T"
Y -2.005 -0.316 6.792
Y -0.084 1.645 3.773
Y 2.069 -0.080 6.780
U -1.921 -1.962 3.019
U 0.232 -3.686 6.026
U 0.000 0.000 0.000
U 2.153 -1.725 3.007
U 0.148 -2.041 9.799
As -0.010 0.626 8.680
As 2.138 -1.095 11.680
As -1.926 -1.331 11.692
As 0.221 -3.044 14.710
As 0.306 -4.708 10.918
As -1.841 -2.987 7.918
As 2.222 -2.751 7.906
As 0.075 -1.039 4.888
```

Formation energy = -1.04 eV per atom
SG = R-3m, No. 166


Record 14
This record from the Alexandria database describes a geometry-optimized YU5As6 structure. The functional is PBE-GGA.

Geometry as extended XYZ:
```
12
Lattice="6.980 0.186 1.069 1.729 5.951 3.470 0.119 0.058 7.110" Properties=species:S:1:pos:R:3 pbc="T T T"
Y 0.000 0.000 0.000
As 5.422 0.655 3.466
As 2.790 3.534 4.664
As 2.184 1.533 1.135
As 6.525 4.605 3.404
As 6.039 2.662 6.986
As 3.407 5.541 8.184
U 3.858 1.125 5.850
U 0.617 2.006 3.521
U 4.355 3.069 2.270
U 1.231 4.003 7.059
U 4.970 5.070 5.799
```

Formation energy = -0.86 eV per atom
SG = C2/m, No. 12


Record 15
This record from the Alexandria database describes a geometry-optimized YUAs2 structure. The functional is PBE-GGA.

Geometry as extended XYZ:
```
4
Lattice="-1.799 -3.548 0.127 -0.092 -2.302 -3.246 5.599 -5.037 0.974" Properties=species:S:1:pos:R:3 pbc="T T T"
Y 4.290 -8.913 -1.122
U 1.892 -5.462 -1.061
As 4.068 -4.279 0.479
As 0.911 -2.714 -0.542
```

E above lowest polymorph = 144.8 meV per atom
Formation energy = -1.00 eV per atom
SG = R3m, No. 160


Record 16
This record from the Alexandria database describes a geometry-optimized YUAs2 structure. The functional is PBE-GGA.

Geometry as extended XYZ:
```
8
Lattice="-1.038 -5.669 -0.632 5.556 -1.150 1.193 -3.552 3.017 5.360" Properties=species:S:1:pos:R:3 pbc="T T T"
Y 2.259 -3.410 0.281
Y 2.132 -0.771 3.417
U -1.165 -3.031 2.504
U 0.000 0.000 0.000
As 1.607 -3.608 3.127
As -0.525 -2.836 -0.290
As -0.640 -0.194 2.794
As -1.806 -3.225 5.298
```

E above lowest polymorph = 20.6 meV per atom
Formation energy = -1.13 eV per atom
SG = I4_1/amd, No. 141


Record 17
This record from the Alexandria database describes a geometry-optimized Y5UAs6 structure. The functional is PBE-GGA.

Geometry as extended XYZ:
```
12
Lattice="7.040 0.171 1.069 1.729 5.971 3.481 0.118 0.062 7.126" Properties=species:S:1:pos:R:3 pbc="T T T"
Y 3.889 1.132 5.847
Y 0.616 2.013 3.532
Y 4.385 3.071 2.275
Y 1.231 4.020 7.074
Y 4.998 5.072 5.829
As 5.478 0.642 3.430
As 2.801 3.581 4.654
As 2.161 1.507 1.118
As 6.608 4.635 3.432
As 6.086 2.622 7.021
As 3.409 5.562 8.246
U 0.000 0.000 0.000
```

Formation energy = -1.42 eV per atom
SG = C2/m, No. 12


Record 18
This record from the Alexandria database describes a geometry-optimized Y3UAs4 structure. The functional is PBE-GGA.

Geometry as extended XYZ:
```
8
Lattice="5.316 0.005 -2.357 -1.049 5.212 -2.356 -0.024 -0.030 7.120" Properties=species:S:1:pos:R:3 pbc="T T T"
Y 2.134 2.608 -2.356
Y 3.713 1.291 1.203
Y 0.530 3.895 1.203
As -0.525 2.606 -1.178
As 2.658 0.002 -1.178
As 1.036 1.267 2.340
As 3.206 3.920 0.066
U 0.000 0.000 0.000
```

Formation energy = -1.35 eV per atom
SG = I4/mmm, No. 139


Record 19
This record from the Alexandria database describes a geometry-optimized YU4As5 structure. The functional is PBE-GGA.

Geometry as extended XYZ:
```
10
Lattice="-2.453 -2.676 -1.805 2.113 1.538 -5.153 7.486 -6.698 4.310" Properties=species:S:1:pos:R:3 pbc="T T T"
Y 0.000 0.000 0.000
U 5.858 -5.818 0.666
U 4.213 -4.922 -2.981
U 2.934 -2.914 0.333
U 1.289 -2.018 -3.313
As 0.247 -2.802 -0.735
As 3.171 -5.706 -0.403
As 3.976 -2.131 -2.245
As 1.057 0.769 -2.577
As 6.899 -5.034 -1.913
```

Formation energy = -0.88 eV per atom
SG = Immm, No. 71


Record 20
This record from the Alexandria database describes a geometry-optimized YU2As3 structure. The functional is PBE-GGA.

Geometry as extended XYZ:
```
24
Lattice="-1.529 5.310 -1.737 -3.391 1.423 7.305 10.720 4.432 4.113" Properties=species:S:1:pos:R:3 pbc="T T T"
Y -2.466 2.938 6.303
Y 2.818 3.710 4.028
Y 2.982 7.455 5.652
Y 8.266 8.227 3.377
U 4.696 5.905 9.047
U 6.375 5.187 5.388
U 1.111 4.417 7.680
U -0.761 2.230 2.659
U 6.561 8.935 7.021
U 4.689 6.748 2.000
U -0.575 5.978 4.292
U 1.104 5.260 0.633
As 3.752 4.811 6.552
As 9.002 5.569 4.263
As 7.321 6.281 7.898
As 5.450 4.095 2.878
As 0.186 3.324 5.168
As 1.865 2.606 1.509
As 3.935 8.559 8.171
As 5.614 7.840 4.512
As 0.350 7.070 6.803
As -1.521 4.884 1.782
As -3.202 5.596 5.417
As 2.048 6.354 3.129
```

Formation energy = -0.99 eV per atom
SG = P2_1/c, No. 14